Mn2CuAs PBE relaxed; crystal system = tetragonal; final energy = -26.96 eV/cell
1.0
-3.071 -1.292 1.728
-0.642 -2.322 -2.878
2.034 -2.618 1.658
As Cu Mn
1 1 2
Direct
0.500 0.000 0.500
0.000 0.500 0.500
0.000 0.000 0.000
0.500 0.500 0.000

=====

TbMgGa2 PBE relaxed; crystal system = tetragonal; final energy = -13.77 eV/cell
1.0
-2.758 0.450 2.087
-1.523 -2.804 -1.408
2.957 -4.000 4.771
Mg Tb Ga
1 1 2
Direct
0.500 0.500 0.000
0.500 0.500 0.500
0.000 0.000 0.779
0.000 0.000 0.221

=====

TcTeOs2 PBE relaxed; formation energy from raw total energies = 787.7 meV per atom; ΔE to the lowest computed polymorph = 216 meV per atom; crystal system = orthorhombic; final energy = -32.82 eV/cell
1.0
-0.120 -1.086 4.667
1.329 -3.953 -2.364
2.809 0.791 0.256
Os Tc Te
2 1 1
Direct
0.000 0.000 0.000
0.500 0.500 0.000
0.500 0.000 0.500
0.000 0.500 0.500

=====

AcTeH PBE relaxed; ΔE to the lowest computed polymorph = 250 meV per atom; crystal system = monoclinic; final energy = -27.28 eV/cell
1.0
4.491 0.000 0.000
-2.245 6.058 0.385
0.000 -0.487 6.708
H Ac Te
2 2 2
Direct
0.579 0.159 0.226
0.421 0.841 0.774
0.139 0.278 0.248
0.861 0.722 0.752
0.854 0.708 0.254
0.146 0.292 0.746

=====

Question: What is the final energy in the third record?
Answer: -32.82 eV/cell